# 1
Crystalline ZnPIr at its relaxed geometry. Source: Alexandria, functional GGA-PBE.

Output
For the electronic total energy, the calculation gives -5.232 eV/atom.

Lattice parameters (Å, degrees): 3.929 3.929 3.557 90.00 90.00 120.00
Sites, in units of the cell vectors:
Zn: 0.000 0.000 0.000
P: 0.667 0.333 0.500
Ir: 0.333 0.667 0.500

---

# 2
Crystalline ZnPIr2 at its relaxed geometry. Source: Alexandria, functional GGA-PBE.

Output
For the electronic total energy, the calculation gives -5.869 eV/atom.

Lattice parameters (Å, degrees): 6.206 6.206 6.206 124.76 124.76 81.94
Sites, in units of the cell vectors:
Zn: 0.000 0.000 0.000
Zn: 0.750 0.250 0.500
P: 0.250 0.750 0.500
P: 0.500 0.500 0.000
Ir: 0.164 0.625 0.039
Ir: 0.375 0.414 0.539
Ir: 0.586 0.125 0.961
Ir: 0.875 0.836 0.461

---

# 3
Crystalline ZnPIr at its relaxed geometry. Source: Alexandria, functional GGA-PBE.

Output
For the electronic total energy, the calculation gives -5.429 eV/atom.

Lattice parameters (Å, degrees): 5.263 6.189 6.115 90.00 108.81 90.00
Sites, in units of the cell vectors:
Zn: 0.137 0.162 0.377
Zn: 0.137 0.338 0.877
Zn: 0.863 0.662 0.123
Zn: 0.863 0.838 0.623
P: 0.363 0.595 0.198
P: 0.363 0.905 0.698
P: 0.637 0.095 0.302
P: 0.637 0.405 0.802
Ir: 0.254 0.557 0.538
Ir: 0.254 0.943 0.038
Ir: 0.746 0.057 0.962
Ir: 0.746 0.443 0.462

---

# 4
Crystalline ZnPIr2 at its relaxed geometry. Source: Alexandria, functional GGA-PBE.

Output
For the electronic total energy, the calculation gives -6.277 eV/atom.

Lattice parameters (Å, degrees): 5.951 5.951 5.951 151.96 143.42 46.71
Sites, in units of the cell vectors:
Zn: 0.000 0.000 0.000
P: 0.240 0.740 0.500
Ir: 0.406 0.406 0.000
Ir: 0.674 0.174 0.500

---

# 5
Crystalline ZnPIr2 at its relaxed geometry. Source: Alexandria, functional GGA-PBE.

Output
For the electronic total energy, the calculation gives -6.080 eV/atom.

Lattice parameters (Å, degrees): 5.027 5.027 5.027 146.60 122.45 68.20
Sites, in units of the cell vectors:
Zn: 0.000 0.000 0.000
P: 0.500 0.500 0.000
Ir: 0.280 0.780 0.500
Ir: 0.720 0.220 0.500

---

# 6
Crystalline ZnPIr2 at its relaxed geometry. Source: Alexandria, functional GGA-PBE.

Output
For the electronic total energy, the calculation gives -5.948 eV/atom.

Lattice parameters (Å, degrees): 5.007 5.007 5.007 137.69 137.69 61.38
Sites, in units of the cell vectors:
Zn: 0.000 0.000 0.000
P: 0.750 0.250 0.500
Ir: 0.250 0.750 0.500
Ir: 0.500 0.500 0.000

---

# 7
Crystalline ZnPIr2 at its relaxed geometry. Source: Alexandria, functional GGA-PBE.

Output
For the electronic total energy, the calculation gives -6.021 eV/atom.

Lattice parameters (Å, degrees): 2.868 2.868 8.259 90.00 90.00 120.73
Sites, in units of the cell vectors:
Zn: 0.000 0.000 0.000
P: 0.000 0.000 0.500
Ir: 0.500 0.500 0.270
Ir: 0.500 0.500 0.730

---

# 8
Crystalline ZnP2Ir at its relaxed geometry. Source: Alexandria, functional GGA-PBE.

Output
For the electronic total energy, the calculation gives -4.919 eV/atom.

Lattice parameters (Å, degrees): 4.147 4.147 3.343 90.00 90.00 90.00
Sites, in units of the cell vectors:
Zn: 0.000 0.000 0.000
P: 0.000 0.500 0.500
P: 0.500 0.000 0.500
Ir: 0.500 0.500 0.000

---

# 9
Crystalline ZnPIr2 at its relaxed geometry. Source: Alexandria, functional GGA-PBE.

Output
For the electronic total energy, the calculation gives -6.161 eV/atom.

Lattice parameters (Å, degrees): 2.859 3.866 5.138 90.00 90.00 90.00
Sites, in units of the cell vectors:
Zn: 0.000 0.000 0.000
P: 0.500 0.500 0.659
Ir: 0.000 0.000 0.508
Ir: 0.500 0.500 0.186

---

# 10
Crystalline ZnPIr2 at its relaxed geometry. Source: Alexandria, functional GGA-PBE.

Output
For the electronic total energy, the calculation gives -6.140 eV/atom.

Lattice parameters (Å, degrees): 4.153 4.153 3.172 90.00 90.00 90.00
Sites, in units of the cell vectors:
Zn: 0.000 0.000 0.000
P: 0.500 0.500 0.000
Ir: 0.000 0.500 0.500
Ir: 0.500 0.000 0.500

---

# 11
Crystalline ZnPIr2 at its relaxed geometry. Source: Alexandria, functional GGA-PBE.

Output
For the electronic total energy, the calculation gives -6.262 eV/atom.

Lattice parameters (Å, degrees): 2.851 2.851 6.842 90.00 90.00 90.00
Sites, in units of the cell vectors:
Zn: 0.000 0.000 0.000
P: 0.000 0.000 0.500
Ir: 0.500 0.500 0.285
Ir: 0.500 0.500 0.715

---

# 12
Crystalline ZnPIr2 at its relaxed geometry. Source: Alexandria, functional GGA-PBE.

Output
For the electronic total energy, the calculation gives -5.766 eV/atom.

Lattice parameters (Å, degrees): 4.353 4.353 4.353 60.00 60.00 60.00
Sites, in units of the cell vectors:
Zn: 0.000 0.000 0.000
P: 0.750 0.750 0.750
Ir: 0.250 0.250 0.250
Ir: 0.500 0.500 0.500

---

The following Fermi-level density of states values (in states/eV/cell) correspond, in order, to the records above: 2.70, 5.61, 5.52, 1.68, 2.46, 3.72, 1.69, 2.14, 3.05, 2.19, 1.84, 4.35.
The following E_form values (in eV per atom) correspond, in order, to the records above: -0.050, 0.233, -0.247, -0.175, 0.022, 0.153, 0.081, 0.320, -0.060, -0.038, -0.160, 0.335.